# Lu2MoIr, relaxed, DFT PBE
data_Lu2MoIr
_symmetry_space_group_name_H-M 'F -4 3 m'
_symmetry_Int_Tables_number 216
_symmetry_space_group_name_Hall 'F -4 2 3'
_cell_length_a 6.7114
_cell_length_b 6.7114
_cell_length_c 6.7114
_cell_angle_alpha 90.00
_cell_angle_beta 90.00
_cell_angle_gamma 90.00
loop_
_atom_site_label
_atom_site_fract_x
_atom_site_fract_y
_atom_site_fract_z
Lu1 0.0000 0.0000 0.0000
Lu2 0.2500 0.2500 0.2500
Mo1 0.2500 0.2500 0.7500
Ir1 0.0000 0.0000 0.5000
# Spin magnetization   0.01 μB/f.u.
# ΔH_f (0 K)   34 meV per atom